#i
Compound: Fe2S3O12
Source: Alexandria
Functional: PBEsol
Structure: optimized geometry

Computed properties:
Calculated volume   11.5 Å³/atom
Fermi-level density of states   10.04 states/eV/f.u.

a b c (Å): 7.9406 7.9406 21.4459
angles (deg): 90.00 90.00 120.00
Space group R-3 (No. 148, hexagonal axes)
Inequivalent atoms, fractional coordinates:
Fe: 0.0000 0.0000 0.1429 [6 per cell]
Fe: 0.0000 0.0000 0.3483 [6 per cell]
S: 0.0014 0.7128 0.7494 [18 per cell]
O: 0.0074 0.2049 0.1900 [18 per cell]
O: 0.0395 0.8347 0.0877 [18 per cell]
O: 0.0917 0.8671 0.7003 [18 per cell]
O: 0.0931 0.8658 0.4002 [18 per cell]

---

#ii
Compound: Fe2S3O12
Source: Alexandria
Functional: PBEsol
Structure: optimized geometry

Computed properties:
Calculated volume   10.9 Å³/atom
Fermi-level density of states   10.05 states/eV/f.u.

a b c (Å): 7.992 8.288 13.692
angles (deg): 90.00 124.81 90.00
Space group P2_1/c (No. 14)
Inequivalent atoms, fractional coordinates:
Fe: 0.131 0.032 0.383 [4 per cell]
Fe: 0.366 0.035 0.113 [4 per cell]
S: 0.033 0.617 0.644 [4 per cell]
S: 0.256 0.119 0.651 [4 per cell]
S: 0.456 0.748 0.992 [4 per cell]
O: 0.029 0.720 0.188 [4 per cell]
O: 0.121 0.502 0.744 [4 per cell]
O: 0.122 0.076 0.689 [4 per cell]
O: 0.154 0.083 0.524 [4 per cell]
O: 0.165 0.615 0.600 [4 per cell]
O: 0.181 0.070 0.949 [4 per cell]
O: 0.254 0.674 0.943 [4 per cell]
O: 0.287 0.204 0.171 [4 per cell]
O: 0.384 0.126 0.441 [4 per cell]
O: 0.449 0.026 0.721 [4 per cell]
O: 0.453 0.684 0.390 [4 per cell]
O: 0.491 0.627 0.579 [4 per cell]

---

Most stable of them? #i.